[1]
Here is a relaxed structure of Sr2LiTe from Alexandria. Energies are from PBE-GGA.

It has space group Cmm2 (No. 35), with a = 5.7509 Å, b = 5.7888 Å, c = 8.7883 Å, α = 90.00°, β = 90.00° and γ = 90.00°. The asymmetric unit holds Sr at (0.0000, 0.0000, 0.0000), Sr at (0.0000, 0.5000, 0.3735), Li at (0.0000, 0.0000, 0.6417) and Te at (0.0000, 0.5000, 0.7660).

As for the energy relative to the elements, uncorrected: -0.62 eV/atom.


[2]
Here is a relaxed structure of CaEuHg from Alexandria. Energies are from PBE-GGA.

It has space group I4mm (No. 107), with a = 3.8490 Å, b = 3.8490 Å, c = 13.4405 Å, α = 90.00°, β = 90.00° and γ = 90.00°. The asymmetric unit holds Ca at (0.0000, 0.0000, 0.0000), Eu at (0.0000, 0.0000, 0.2779) and Hg at (0.0000, 0.0000, 0.6327).

The calculation puts the energy of formation at -381 meV/atom. The energy above the most stable polymorph in this dataset comes out at 0.000 eV/atom.


[3]
Here is a relaxed structure of Ba6Li15Ag8 from Alexandria. Energies are from PBE-GGA.

It has space group Fm-3m (No. 225), with a = 14.7161 Å, b = 14.7161 Å, c = 14.7161 Å, α = 90.00°, β = 90.00° and γ = 90.00°. The asymmetric unit holds Ba at (0.0000, 0.0000, 0.2347), Li at (0.0000, 0.0000, 0.5000), Li at (0.0000, 0.2500, 0.2500), Li at (0.1800, 0.1800, 0.1800) and Ag at (0.1404, 0.1404, 0.3596).

The calculation puts the energy of formation at -104 meV/atom.


[4]
Here is a relaxed structure of ErZrBi from Alexandria. Energies are from PBE-GGA.

It has space group I4mm (No. 107), with a = 3.8607 Å, b = 3.8607 Å, c = 10.5143 Å, α = 90.00°, β = 90.00° and γ = 90.00°. The asymmetric unit holds Er at (0.0000, 0.0000, 0.0000), Zr at (0.0000, 0.0000, 0.6768) and Bi at (0.0000, 0.0000, 0.3230).

The calculation puts the energy of formation at -359 meV/atom.


[5]
Here is a relaxed structure of LiCa3Cd12 from Alexandria. Energies are from PBE-GGA.

It has space group P4/mmm (No. 123), with a = 4.6233 Å, b = 4.6233 Å, c = 18.0674 Å, α = 90.00°, β = 90.00° and γ = 90.00°. The asymmetric unit holds Li at (0.0000, 0.0000, 0.0000), Ca at (0.0000, 0.0000, 0.2390), Ca at (0.0000, 0.0000, 0.5000), Cd at (0.0000, 0.5000, 0.1102), Cd at (0.0000, 0.5000, 0.3695), Cd at (0.5000, 0.5000, 0.0000), Cd at (0.5000, 0.5000, 0.2367) and Cd at (0.5000, 0.5000, 0.5000).

The calculation puts the energy of formation at -221 meV/atom.


[6]
Here is a relaxed structure of LaSc3Sn2 from Alexandria. Energies are from PBE-GGA.

It has space group C2/m (No. 12), with a = 18.1648 Å, b = 4.5633 Å, c = 9.1482 Å, α = 90.00°, β = 119.55° and γ = 90.00°. The asymmetric unit holds La at (0.1349, 0.0000, 0.0760), Sc at (0.0522, 0.0000, 0.3959), Sc at (0.0918, 0.5000, 0.6807), Sc at (0.1890, 0.5000, 0.4695), Sn at (0.0188, 0.5000, 0.1694) and Sn at (0.2120, 0.0000, 0.7305).

The calculation puts the energy of formation at -504 meV/atom.


[7]
Here is a relaxed structure of CaRuSe2 from Alexandria. Energies are from PBE-GGA.

It has space group R-3m (No. 166, hexagonal axes), with a = 4.0003 Å, b = 4.0003 Å, c = 17.5667 Å, α = 90.00°, β = 90.00° and γ = 120.00°. The asymmetric unit holds Ca at (0.0000, 0.0000, 0.0000), Ru at (0.0000, 0.0000, 0.5000) and Se at (0.0000, 0.0000, 0.2319).

As for the energy relative to the elements, uncorrected: -0.88 eV/atom. The energy above the most stable polymorph in this dataset comes out at 0.000 eV/atom.


[8]
Here is a relaxed structure of Ho2TmTl from Alexandria. Energies are from PBE-GGA.

It has space group P2_1/m (No. 11), with a = 3.6386 Å, b = 10.0645 Å, c = 6.6587 Å, α = 90.00°, β = 105.79° and γ = 90.00°. The asymmetric unit holds Ho at (0.1278, 0.0353, 0.2579), Tm at (0.4591, 0.2500, 0.9191) and Tl at (0.2532, 0.7500, 0.5026).

The calculation puts the energy of formation at -155 meV/atom. The energy above the most stable polymorph in this dataset comes out at 0.013 eV/atom.


[9]
Here is a relaxed structure of Cs2TlAu3 from Alexandria. Energies are from PBE-GGA.

It has space group C2/c (No. 15), with a = 15.3718 Å, b = 10.6201 Å, c = 5.4329 Å, α = 90.00°, β = 90.09° and γ = 90.00°. The asymmetric unit holds Cs at (0.1553, 0.1728, 0.2506), Tl at (0.0000, 0.3549, 0.7500), Au at (0.0000, 0.0697, 0.7500) and Au at (0.1414, 0.4999, 0.0023).

The calculation puts the energy of formation at -266 meV/atom.


[10]
Here is a relaxed structure of Pm2PrSc5 from Alexandria. Energies are from PBE-GGA.

It has space group I4mm (No. 107), with a = 6.9250 Å, b = 6.9250 Å, c = 9.3099 Å, α = 90.00°, β = 90.00° and γ = 90.00°. The asymmetric unit holds Pm at (0.0000, 0.5000, 0.0000), Pr at (0.0000, 0.0000, 0.9996), Sc at (0.0000, 0.0000, 0.5002) and Sc at (0.2498, 0.2498, 0.2499).

The calculation puts the energy of formation at 63 meV/atom.


[11]
Here is a relaxed structure of YIn from Alexandria. Energies are from PBE-GGA.

It has space group Pmmn (No. 59, origin choice 2), with a = 3.6612 Å, b = 4.8886 Å, c = 6.3901 Å, α = 90.00°, β = 90.00° and γ = 90.00°. The asymmetric unit holds Y at (0.2500, 0.2500, 0.1597) and In at (0.2500, 0.2500, 0.6603).

The calculation puts the energy of formation at -269 meV/atom.


[12]
Here is a relaxed structure of TaB3Ir from Alexandria. Energies are from PBE-GGA.

It has space group Cmcm (No. 63), with a = 3.3350 Å, b = 18.3588 Å, c = 3.1677 Å, α = 90.00°, β = 90.00° and γ = 90.00°. The asymmetric unit holds Ta at (0.0000, 0.0726, 0.2500), B at (0.0000, 0.3230, 0.7500), B at (0.0000, 0.3764, 0.2500), B at (0.0000, 0.4751, 0.2500) and Ir at (0.0000, 0.2027, 0.7500).

The calculation puts the energy of formation at -449 meV/atom. The energy above the most stable polymorph in this dataset comes out at 0.000 eV/atom.


Number 1: E -0.2003 Ry/atom. Number 2: E -0.3362 Ry/atom. Number 3: E -0.1675 Ry/atom. Number 4: E -0.4427 Ry/atom. Number 5: E -0.1031 Ry/atom. Number 6: E -0.4281 Ry/atom. Number 7: E -0.3997 Ry/atom. Number 8: E -0.3053 Ry/atom. Number 9: E -0.1899 Ry/atom. Number 10: E -0.4174 Ry/atom. Number 11: E -0.3579 Ry/atom. Number 12: E -0.6319 Ry/atom.